The following is a PBE calculation of an optimized crystal structure of LiP2Au, from Alexandria via LeMat-Bulk.

Properties
Distance to the lowest polymorph of the same formula: 0.029 eV per atom
Calculated formation energy: -0.3229 eV/atom
Space-group type: Cm (8)

The structure in POSCAR format:
```
LiP2Au
1.0
-1.580 1.378 -4.373
-3.009 0.420 1.220
3.781 8.150 6.518
Li P Au
2 4 2
Cartesian
-1.497 1.369 0.229
1.898 5.234 2.878
-0.289 5.947 1.632
1.298 7.220 0.715
-0.675 1.662 -2.237
-2.097 3.355 -1.934
-1.188 4.623 -0.130
2.207 8.488 2.519
```

***

The following is a PBE calculation of an optimized crystal structure of LaSm3As4, from Alexandria via LeMat-Bulk.

Properties
Distance to the lowest polymorph of the same formula: 0.004 eV per atom
Calculated formation energy: -1.5314 eV/atom
Space-group type: Pm-3m (221)

The structure in POSCAR format:
```
LaSm3As4
1.0
-3.138 2.420 -4.530
-0.104 -5.337 -2.779
-5.135 -1.370 2.825
As Sm La
4 3 1
Cartesian
-2.567 -0.685 1.412
-4.189 -2.144 -2.242
-0.052 -2.669 -1.390
-1.569 1.210 -2.265
-2.620 -3.354 0.023
-1.621 -1.459 -3.655
-4.136 0.525 -0.853
0.000 0.000 0.000
```

***

The following is a PBE calculation of an optimized crystal structure of KV3Rh, from Alexandria via LeMat-Bulk.

Properties
Distance to the lowest polymorph of the same formula: 0.000 eV per atom
Calculated formation energy: 1.0533 eV/atom
Space-group type: Pm-3m (221)

The structure in POSCAR format:
```
KV3Rh
1.0
-4.561 -1.580 0.705
0.936 -3.925 -2.741
1.455 -2.428 3.973
V Rh K
3 1 1
Cartesian
-2.281 -0.790 0.352
0.727 -1.214 1.987
0.468 -1.963 -1.370
0.000 0.000 0.000
-1.085 -3.966 0.969
```

***

The following is a PBE calculation of an optimized crystal structure of ScMnB4, from Alexandria via LeMat-Bulk.

Properties
Calculated formation energy: -0.6995 eV/atom
Space-group type: Pbam (55)

The structure in POSCAR format:
```
ScMnB4
1.0
-1.725 -0.331 -2.739
-3.167 -4.152 2.495
-7.236 7.698 3.626
Sc B Mn
4 16 4
Cartesian
-4.523 0.087 2.837
-1.490 0.621 0.863
-8.912 2.925 5.258
-5.880 3.459 3.284
-3.835 -3.516 0.907
-7.429 5.221 2.114
-5.193 3.578 0.905
-8.080 2.153 2.895
-5.958 5.084 1.205
-5.409 1.919 1.241
-4.047 1.062 0.487
-3.778 -0.651 0.525
-4.698 -2.005 1.267
-6.718 1.297 2.141
-8.349 3.867 2.857
-6.169 -1.868 2.177
-8.292 6.731 2.475
-9.696 4.609 3.616
-2.430 -1.393 -0.234
-6.934 -0.362 2.477
-2.607 -1.962 1.878
-6.987 0.888 4.291
-7.795 5.509 4.243
-3.416 2.658 1.830
```

***

The following is a PBE calculation of an optimized crystal structure of CaTeMo2, from Alexandria via LeMat-Bulk.

Properties
E_form (uncorrected): 865 meV/atom
Space-group type: Cmmm (65)

The structure in POSCAR format:
```
CaTeMo2
1.0
-2.486 -1.673 -0.787
1.987 0.111 -2.374
4.165 -7.660 3.129
Mo Ca Te
2 1 1
Cartesian
0.116 -0.214 0.087
1.966 -3.616 1.477
2.875 -6.526 0.766
0.792 -2.696 -0.798
```

***

The following is a PBE calculation of an optimized crystal structure of Er4BiIr, from Alexandria via LeMat-Bulk.

Properties
Distance to the lowest polymorph of the same formula: 0.178 eV per atom
Calculated formation energy: -0.4991 eV/atom
Space-group type: Cmcm (63)

The structure in POSCAR format:
```
Er4BiIr
1.0
-2.363 -2.744 -2.486
5.247 -6.904 2.631
-3.867 -0.041 7.605
Ir Er Bi
2 8 2
Cartesian
0.233 -2.028 2.017
-1.216 -7.660 5.733
-3.647 -3.113 6.906
2.663 -6.575 0.844
-0.554 -4.899 2.054
-2.572 -2.244 1.042
0.000 0.000 0.000
-0.429 -4.789 5.696
1.589 -7.444 6.708
2.623 -3.452 1.316
2.333 -5.627 3.991
-3.316 -4.061 3.759
```

***

Spin magnetization for every record listed, in sequence, given in μB/cell: 0.000 0.000 7.465 3.347 0.001 0.000.